No. 1
Entry from Alexandria via LeMat-Bulk: a geometry-optimized K2RbNaF structure (PBE-GGA).

Computed properties:
Magnetization   0.000 μB per cell
Energy   -2.26 eV per atom
ρ   1.66 g/cm³
Uncorrected formation energy   -990 meV/atom
Relative energy among the computed polymorphs   0.00 kcal/mol of atoms
Space-group type   P4/mmm (123)

abc: 5.779 5.779 6.168
angles: 90.00 90.00 90.00
Positions (direct):
1 K 0.000 0.500 0.000
2 K 0.500 0.000 0.000
3 Rb 0.000 0.000 0.500
4 Na 0.500 0.500 0.500
5 F 0.000 0.000 0.000



No. 2
Entry from Alexandria via LeMat-Bulk: a geometry-optimized Y3Er4Sc2 structure (PBE-GGA).

Computed properties:
Magnetization   0.000 μB per cell
Energy   -5.47 eV per atom
ρ   6.35 g/cm³
Relative energy among the computed polymorphs   0.45 kcal/mol of atoms
E_form   0.116 eV per atom
Space-group type   C2/c (15)

abc: 9.880 9.880 5.882
angles: 96.10 96.10 70.53
Positions (direct):
1 Y 0.102 0.898 0.750
2 Y 0.202 0.457 0.925
3 Y 0.457 0.202 0.425
4 Y 0.543 0.798 0.575
5 Y 0.798 0.543 0.075
6 Y 0.898 0.102 0.250
7 Er 0.097 0.328 0.374
8 Er 0.313 0.576 0.477
9 Er 0.328 0.097 0.874
10 Er 0.424 0.687 0.023
11 Er 0.576 0.313 0.977
12 Er 0.672 0.903 0.126
13 Er 0.687 0.424 0.523
14 Er 0.903 0.672 0.626
15 Sc 0.029 0.756 0.184
16 Sc 0.244 0.971 0.316
17 Sc 0.756 0.029 0.684
18 Sc 0.971 0.244 0.816



No. 3
Entry from Alexandria via LeMat-Bulk: a geometry-optimized NbBSb2I structure (PBE-GGA).

Computed properties:
Magnetization   2.384 μB per cell
Energy   -4.20 eV per atom
ρ   6.89 g/cm³
Uncorrected formation energy   1106 meV/atom
Relative energy among the computed polymorphs   0.00 kcal/mol of atoms
Space-group type   P4/mmm (123)

abc: 4.751 4.751 5.059
angles: 90.00 90.00 90.00
Positions (direct):
1 Nb 0.000 0.000 0.000
2 B 0.500 0.500 0.500
3 Sb 0.000 0.500 0.500
4 Sb 0.500 0.000 0.500
5 I 0.500 0.500 0.000



No. 4
Entry from Alexandria via LeMat-Bulk: a geometry-optimized LiCdAs3 structure (PBE-GGA).

Computed properties:
Magnetization   0.000 μB per cell
Energy   -2.95 eV per atom
ρ   5.59 g/cm³
Relative energy among the computed polymorphs   9.59 kcal/mol of atoms
E_form   0.406 eV per atom
Space-group type   Pm-3m (221)

abc: 4.675 4.675 4.675
angles: 90.00 90.00 90.00
Positions (direct):
1 Li 0.000 0.000 0.000
2 Cd 0.500 0.500 0.500
3 As 0.000 0.000 0.500
4 As 0.000 0.500 0.000
5 As 0.500 0.000 0.000



No. 5
Entry from Alexandria via LeMat-Bulk: a geometry-optimized NaSiPb3 structure (PBE-GGA).

Computed properties:
Magnetization   0.000 μB per cell
Energy   -2.71 eV per atom
ρ   6.86 g/cm³
Uncorrected formation energy   865 meV/atom
Relative energy among the computed polymorphs   12.05 kcal/mol of atoms
Space-group type   Pm-3m (221)

abc: 5.461 5.461 5.461
angles: 90.00 90.00 90.00
Positions (direct):
1 Na 0.000 0.000 0.000
2 Si 0.500 0.500 0.500
3 Pb 0.000 0.000 0.500
4 Pb 0.000 0.500 0.000
5 Pb 0.500 0.000 0.000



No. 6
Entry from Alexandria via LeMat-Bulk: a geometry-optimized Mg12Zn2Cd5 structure (PBE-GGA).

Computed properties:
Magnetization   0.000 μB per cell
Energy   -1.43 eV per atom
ρ   3.99 g/cm³
E_form   -0.050 eV per atom
Space-group type   C2/m (12)

abc: 11.281 11.281 4.516
angles: 101.17 101.17 46.82
Positions (direct):
1 Mg 0.048 0.557 0.803
2 Mg 0.079 0.079 0.079
3 Mg 0.153 0.671 0.412
4 Mg 0.329 0.847 0.588
5 Mg 0.406 0.406 0.907
6 Mg 0.443 0.952 0.197
7 Mg 0.557 0.048 0.803
8 Mg 0.594 0.594 0.093
9 Mg 0.671 0.153 0.412
10 Mg 0.847 0.329 0.588
11 Mg 0.921 0.921 0.921
12 Mg 0.952 0.443 0.197
13 Zn 0.260 0.740 0.000
14 Zn 0.740 0.260 0.000
15 Cd 0.191 0.191 0.689
16 Cd 0.304 0.304 0.303
17 Cd 0.500 0.500 0.500
18 Cd 0.696 0.696 0.697
19 Cd 0.809 0.809 0.311